# PBE-GGA CsBe3In, optimized geometry
# * V: 205 Å³ per cell
# * total energy: -3.574 eV/cell
# * total moment: 0.00 μB per formula unit
# * offset from the most stable computed form: 1135 meV per atom
# * energy of formation from the pure elements: 2239 meV per atom
data_CsBe3In
_symmetry_space_group_name_H-M 'P m -3 m'
_symmetry_Int_Tables_number 221
_symmetry_space_group_name_Hall '-P 4 2 3'
_cell_length_a 5.898
_cell_length_b 5.898
_cell_length_c 5.898
_cell_angle_alpha 90.00
_cell_angle_beta 90.00
_cell_angle_gamma 90.00
loop_
_atom_site_label
_atom_site_type_symbol
_atom_site_fract_x
_atom_site_fract_y
_atom_site_fract_z
Cs1 Cs 0.000 0.000 0.000
Be1 Be 0.000 0.000 0.500
In1 In 0.500 0.500 0.500

***

# PBE-GGA CsBeIn3, optimized geometry
# * V: 152 Å³ per cell
# * total energy: -11.358 eV/cell
# * total moment: 0.00 μB per formula unit
# * offset from the most stable computed form: 0 meV per atom
# * energy of formation from the pure elements: 287 meV per atom
data_CsBeIn3
_symmetry_space_group_name_H-M 'P m -3 m'
_symmetry_Int_Tables_number 221
_symmetry_space_group_name_Hall '-P 4 2 3'
_cell_length_a 5.331
_cell_length_b 5.331
_cell_length_c 5.331
_cell_angle_alpha 90.00
_cell_angle_beta 90.00
_cell_angle_gamma 90.00
loop_
_atom_site_label
_atom_site_type_symbol
_atom_site_fract_x
_atom_site_fract_y
_atom_site_fract_z
Cs1 Cs 0.000 0.000 0.000
Be1 Be 0.500 0.500 0.500
In1 In 0.000 0.500 0.500

***

# PBE-GGA Cs2BeIn, optimized geometry
# * V: 741 Å³ per cell
# * total energy: -20.649 eV/cell
# * total moment: 0.01 μB per formula unit
# * offset from the most stable computed form: 432 meV per atom
# * energy of formation from the pure elements: 752 meV per atom
data_Cs2BeIn
_symmetry_space_group_name_H-M 'F m -3 m'
_symmetry_Int_Tables_number 225
_symmetry_space_group_name_Hall '-F 4 2 3'
_cell_length_a 9.049
_cell_length_b 9.049
_cell_length_c 9.049
_cell_angle_alpha 90.00
_cell_angle_beta 90.00
_cell_angle_gamma 90.00
loop_
_atom_site_label
_atom_site_type_symbol
_atom_site_fract_x
_atom_site_fract_y
_atom_site_fract_z
Cs1 Cs 0.250 0.250 0.250
Be1 Be 0.000 0.000 0.000
In1 In 0.000 0.000 0.500

***

# PBE-GGA Cs2BeIn, optimized geometry
# * V: 946 Å³ per cell
# * total energy: -27.554 eV/cell
# * total moment: 0.00 μB per formula unit
# * offset from the most stable computed form: 0 meV per atom
# * energy of formation from the pure elements: 321 meV per atom
data_Cs2BeIn
_symmetry_space_group_name_H-M 'I -4 2 d'
_symmetry_Int_Tables_number 122
_symmetry_space_group_name_Hall 'I -4 2bw'
_cell_length_a 14.166
_cell_length_b 14.166
_cell_length_c 4.714
_cell_angle_alpha 90.00
_cell_angle_beta 90.00
_cell_angle_gamma 90.00
loop_
_atom_site_label
_atom_site_type_symbol
_atom_site_fract_x
_atom_site_fract_y
_atom_site_fract_z
Cs1 Cs 0.063 0.250 0.125
Be1 Be 0.000 0.000 0.000
In1 In 0.000 0.000 0.500

***

# PBE-GGA CsBe3In, optimized geometry
# * V: 124 Å³ per cell
# * total energy: -9.249 eV/cell
# * total moment: 0.00 μB per formula unit
# * offset from the most stable computed form: 0 meV per atom
# * energy of formation from the pure elements: 1104 meV per atom
data_CsBe3In
_symmetry_space_group_name_H-M 'P m -3 m'
_symmetry_Int_Tables_number 221
_symmetry_space_group_name_Hall '-P 4 2 3'
_cell_length_a 4.993
_cell_length_b 4.993
_cell_length_c 4.993
_cell_angle_alpha 90.00
_cell_angle_beta 90.00
_cell_angle_gamma 90.00
loop_
_atom_site_label
_atom_site_type_symbol
_atom_site_fract_x
_atom_site_fract_y
_atom_site_fract_z
Cs1 Cs 0.000 0.000 0.000
Be1 Be 0.000 0.500 0.500
In1 In 0.500 0.500 0.500

***

# PBE-GGA CsBeIn3, optimized geometry
# * V: 309 Å³ per cell
# * total energy: -4.805 eV/cell
# * total moment: 0.00 μB per formula unit
# * offset from the most stable computed form: 1311 meV per atom
# * energy of formation from the pure elements: 1598 meV per atom
data_CsBeIn3
_symmetry_space_group_name_H-M 'P m -3 m'
_symmetry_Int_Tables_number 221
_symmetry_space_group_name_Hall '-P 4 2 3'
_cell_length_a 6.760
_cell_length_b 6.760
_cell_length_c 6.760
_cell_angle_alpha 90.00
_cell_angle_beta 90.00
_cell_angle_gamma 90.00
loop_
_atom_site_label
_atom_site_type_symbol
_atom_site_fract_x
_atom_site_fract_y
_atom_site_fract_z
Cs1 Cs 0.000 0.000 0.000
Be1 Be 0.500 0.500 0.500
In1 In 0.000 0.000 0.500

***

# PBE-GGA Cs2KBeIn, optimized geometry
# * V: 306 Å³ per cell
# * total energy: -5.997 eV/cell
# * total moment: 0.00 μB per formula unit
# * energy of formation from the pure elements: 654 meV per atom
data_Cs2KBeIn
_symmetry_space_group_name_H-M 'P 4/m m m'
_symmetry_Int_Tables_number 123
_symmetry_space_group_name_Hall '-P 4 2'
_cell_length_a 6.911
_cell_length_b 6.911
_cell_length_c 6.398
_cell_angle_alpha 90.00
_cell_angle_beta 90.00
_cell_angle_gamma 90.00
loop_
_atom_site_label
_atom_site_type_symbol
_atom_site_fract_x
_atom_site_fract_y
_atom_site_fract_z
Cs1 Cs 0.000 0.500 0.000
K1 K 0.000 0.000 0.500
Be1 Be 0.000 0.000 0.000
In1 In 0.500 0.500 0.500

***

# PBE-GGA CsBeInO3, optimized geometry
# * energy relative to the elements, uncorrected: -1825 meV/atom
# * V: 196 Å³ per cell
# * total energy: -66.289 eV/cell
# * total moment: 0.00 μB per formula unit
data_CsBeInO3
_symmetry_space_group_name_H-M 'P 1 21/m 1'
_symmetry_Int_Tables_number 11
_cell_length_a 7.959
_cell_length_b 3.314
_cell_length_c 8.085
_cell_angle_alpha 90.00
_cell_angle_beta 113.32
_cell_angle_gamma 90.00
loop_
_symmetry_equiv_pos_as_xyz
'x,y,z'
'-x,-y,-z'
'-x,y+1/2,-z'
'x,-y+1/2,z'
loop_
_atom_site_label
_atom_site_type_symbol
_atom_site_fract_x
_atom_site_fract_y
_atom_site_fract_z
Cs1 Cs 0.247 0.250 0.221
Be1 Be 0.397 0.750 0.929
In1 In 0.149 0.250 0.665
O1 O 0.153 0.750 0.486
O2 O 0.179 0.750 0.857
O3 O 0.455 0.250 0.866

***

# PBE-GGA CsRb2BeIn, optimized geometry
# * V: 242 Å³ per cell
# * total energy: -7.724 eV/cell
# * total moment: 0.29 μB per formula unit
# * energy of formation from the pure elements: 306 meV per atom
data_CsRb2BeIn
_symmetry_space_group_name_H-M 'P 4/m m m'
_symmetry_Int_Tables_number 123
_symmetry_space_group_name_Hall '-P 4 2'
_cell_length_a 7.066
_cell_length_b 7.066
_cell_length_c 4.846
_cell_angle_alpha 90.00
_cell_angle_beta 90.00
_cell_angle_gamma 90.00
loop_
_atom_site_label
_atom_site_type_symbol
_atom_site_fract_x
_atom_site_fract_y
_atom_site_fract_z
Cs1 Cs 0.000 0.000 0.000
Rb1 Rb 0.000 0.500 0.500
Be1 Be 0.500 0.500 0.500
In1 In 0.500 0.500 0.000

***

# PBE-GGA Cs2BeInSb, optimized geometry
# * energy relative to the elements, uncorrected: 231 meV/atom
# * V: 260 Å³ per cell
# * total energy: -11.141 eV/cell
# * total moment: 1.57 μB per formula unit
data_Cs2BeInSb
_symmetry_space_group_name_H-M 'P 4/m m m'
_symmetry_Int_Tables_number 123
_symmetry_space_group_name_Hall '-P 4 2'
_cell_length_a 7.681
_cell_length_b 7.681
_cell_length_c 4.401
_cell_angle_alpha 90.00
_cell_angle_beta 90.00
_cell_angle_gamma 90.00
loop_
_atom_site_label
_atom_site_type_symbol
_atom_site_fract_x
_atom_site_fract_y
_atom_site_fract_z
Cs1 Cs 0.000 0.500 0.000
Be1 Be 0.000 0.000 0.500
In1 In 0.500 0.500 0.500
Sb1 Sb 0.000 0.000 0.000

***

# PBE-GGA CsBeInTc2, optimized geometry
# * V: 132 Å³ per cell
# * total energy: -18.817 eV/cell
# * total moment: 5.28 μB per formula unit
# * energy of formation from the pure elements: 1847 meV per atom
data_CsBeInTc2
_symmetry_space_group_name_H-M 'P 4/m m m'
_symmetry_Int_Tables_number 123
_symmetry_space_group_name_Hall '-P 4 2'
_cell_length_a 5.352
_cell_length_b 5.352
_cell_length_c 4.600
_cell_angle_alpha 90.00
_cell_angle_beta 90.00
_cell_angle_gamma 90.00
loop_
_atom_site_label
_atom_site_type_symbol
_atom_site_fract_x
_atom_site_fract_y
_atom_site_fract_z
Cs1 Cs 0.000 0.000 0.000
Be1 Be 0.500 0.500 0.000
In1 In 0.500 0.500 0.500
Tc1 Tc 0.000 0.500 0.500

***

# PBE-GGA Cs2BeIr, optimized geometry
# * V: 582 Å³ per cell
# * total energy: -33.870 eV/cell
# * total moment: 1.02 μB per formula unit
# * offset from the most stable computed form: 0 meV per atom
# * energy of formation from the pure elements: 1457 meV per atom
data_Cs2BeIr
_symmetry_space_group_name_H-M 'F m -3 m'
_symmetry_Int_Tables_number 225
_symmetry_space_group_name_Hall '-F 4 2 3'
_cell_length_a 8.350
_cell_length_b 8.350
_cell_length_c 8.350
_cell_angle_alpha 90.00
_cell_angle_beta 90.00
_cell_angle_gamma 90.00
loop_
_atom_site_label
_atom_site_type_symbol
_atom_site_fract_x
_atom_site_fract_y
_atom_site_fract_z
Cs1 Cs 0.250 0.250 0.250
Be1 Be 0.000 0.000 0.000
Ir1 Ir 0.000 0.000 0.500